Entry 1:
! ZrCrCu2 | the Alexandria database | SCAN | single point on PBEsol structure; values from VASP
&SYSTEM
  ibrav = 0, nat = 4, ntyp = 3
/
ATOMIC_SPECIES
Zr 91.22 Zr.upf
Cr 52.00 Cr.upf
Cu 63.55 Cu.upf
ATOMIC_POSITIONS crystal
Zr 0.000 0.000 0.000
Cr 0.000 0.000 0.500
Cu 0.500 0.500 0.281
Cu 0.500 0.500 0.719
CELL_PARAMETERS angstrom
2.719 0.000 0.000
0.000 2.719 0.000
0.000 0.000 7.418
! - V: 54.8 Å³/cell
! - Energy relative to the elements: 292 meV per atom
! - E above lowest polymorph: 34.18 kJ/mol of atoms

---

Entry 2:
! ZrCr2Cu | the Alexandria database | SCAN | single point on PBEsol structure; values from VASP
&SYSTEM
  ibrav = 0, nat = 4, ntyp = 3
/
ATOMIC_SPECIES
Zr 91.22 Zr.upf
Cr 52.00 Cr.upf
Cu 63.55 Cu.upf
ATOMIC_POSITIONS crystal
Zr 0.000 0.000 0.000
Cr 0.547 0.500 0.296
Cr 0.871 0.000 0.473
Cu 0.399 0.500 0.718
CELL_PARAMETERS angstrom
2.659 0.000 0.000
0.000 3.838 0.000
-1.056 0.000 5.439
! - V: 55.5 Å³/cell
! - Energy relative to the elements: 280 meV per atom
! - E above lowest polymorph: 0.00 kJ/mol of atoms

---

Entry 3:
! ZrCr2Cu | the Alexandria database | SCAN | single point on PBEsol structure; values from VASP
&SYSTEM
  ibrav = 0, nat = 4, ntyp = 3
/
ATOMIC_SPECIES
Zr 91.22 Zr.upf
Cr 52.00 Cr.upf
Cu 63.55 Cu.upf
ATOMIC_POSITIONS crystal
Zr 0.000 0.000 0.000
Cr 0.242 0.242 0.242
Cr 0.758 0.758 0.758
Cu 0.500 0.500 0.500
CELL_PARAMETERS angstrom
1.309 0.755 9.292
-1.309 0.755 9.292
0.000 -1.511 9.292
! - V: 55.1 Å³/cell
! - Energy relative to the elements: 720 meV per atom
! - E above lowest polymorph: 42.46 kJ/mol of atoms

---

Entry 4:
! ZrCr2Cu | the Alexandria database | SCAN | single point on PBEsol structure; values from VASP
&SYSTEM
  ibrav = 0, nat = 4, ntyp = 3
/
ATOMIC_SPECIES
Zr 91.22 Zr.upf
Cr 52.00 Cr.upf
Cu 63.55 Cu.upf
ATOMIC_POSITIONS crystal
Zr 0.000 0.000 0.000
Cr 0.232 0.500 0.732
Cr 0.768 0.500 0.268
Cu 0.500 0.000 0.500
CELL_PARAMETERS angstrom
2.547 0.000 0.000
0.000 4.357 0.000
-0.672 0.000 4.901
! - V: 54.4 Å³/cell
! - Energy relative to the elements: 501 meV per atom
! - E above lowest polymorph: 21.38 kJ/mol of atoms

---

Entry 5:
! DyMn2Cr4Ge6 | the Alexandria database | SCAN | single point on PBEsol structure; values from VASP
&SYSTEM
  ibrav = 0, nat = 13, ntyp = 4
/
ATOMIC_SPECIES
Dy 162.50 Dy.upf
Mn 54.94 Mn.upf
Cr 52.00 Cr.upf
Ge 72.64 Ge.upf
ATOMIC_POSITIONS crystal
Dy 0.000 0.000 0.000
Mn 0.000 0.500 0.749
Mn 0.500 0.000 0.749
Cr 0.000 0.500 0.251
Cr 0.500 0.000 0.251
Cr 0.500 0.500 0.250
Cr 0.500 0.500 0.751
Ge 0.000 0.000 0.346
Ge 0.000 0.000 0.655
Ge 0.333 0.667 0.998
Ge 0.334 0.666 0.502
Ge 0.666 0.334 0.502
Ge 0.667 0.333 0.998
CELL_PARAMETERS angstrom
2.527 -4.362 0.000
2.527 4.362 0.000
0.000 0.000 8.149
! - V: 179.6 Å³/cell
! - Energy relative to the elements: -290 meV per atom

---

Entry 6:
! DyMg2Cr3S8 | the Alexandria database | SCAN | single point on PBEsol structure; values from VASP
&SYSTEM
  ibrav = 0, nat = 14, ntyp = 4
/
ATOMIC_SPECIES
Dy 162.50 Dy.upf
Mg 24.30 Mg.upf
Cr 52.00 Cr.upf
S 32.06 S.upf
ATOMIC_POSITIONS crystal
Dy 0.000 0.000 0.000
Mg 0.375 0.375 0.375
Mg 0.625 0.625 0.625
Cr 0.000 0.000 0.500
Cr 0.000 0.500 0.000
Cr 0.500 0.000 0.000
S 0.220 0.744 0.744
S 0.236 0.236 0.236
S 0.256 0.256 0.780
S 0.256 0.780 0.256
S 0.744 0.220 0.744
S 0.744 0.744 0.220
S 0.764 0.764 0.764
S 0.780 0.256 0.256
CELL_PARAMETERS angstrom
3.624 2.092 6.015
-3.624 2.092 6.015
0.000 -4.184 6.015
! - V: 273.6 Å³/cell
! - Formation energy without anion corrections: -1467 meV per atom